# 1
H12Pd5Au3 (PBE-GGA, relaxed); space group = No. 230; V = 743.9 Å³ per cell; DFT total energy = -293.75 eV/cell
1.0
-5.708 5.708 5.708
5.708 -5.708 5.708
5.708 5.708 -5.708
H Pd Au
48 20 12
Direct
0.037 0.154 0.693
0.037 0.383 0.344
0.039 0.656 0.193
0.039 0.883 0.846
0.117 0.154 0.961
0.117 0.463 0.156
0.154 0.693 0.037
0.154 0.961 0.117
0.156 0.117 0.463
0.156 0.539 0.693
0.193 0.039 0.656
0.193 0.654 0.537
0.307 0.844 0.461
0.307 0.963 0.846
0.344 0.037 0.383
0.344 0.807 0.961
0.346 0.383 0.539
0.346 0.463 0.807
0.383 0.344 0.037
0.383 0.539 0.346
0.461 0.307 0.844
0.461 0.654 0.617
0.463 0.156 0.117
0.463 0.807 0.346
0.537 0.193 0.654
0.537 0.844 0.883
0.539 0.346 0.383
0.539 0.693 0.156
0.617 0.461 0.654
0.617 0.656 0.963
0.654 0.537 0.193
0.654 0.617 0.461
0.656 0.193 0.039
0.656 0.963 0.617
0.693 0.037 0.154
0.693 0.156 0.539
0.807 0.346 0.463
0.807 0.961 0.344
0.844 0.461 0.307
0.844 0.883 0.537
0.846 0.039 0.883
0.846 0.307 0.963
0.883 0.537 0.844
0.883 0.846 0.039
0.961 0.117 0.154
0.961 0.344 0.807
0.963 0.617 0.656
0.963 0.846 0.307
0.000 0.000 0.000
0.000 0.000 0.500
0.000 0.500 0.000
0.000 0.500 0.500
0.125 0.750 0.875
0.125 0.875 0.250
0.250 0.125 0.875
0.250 0.625 0.375
0.375 0.250 0.625
0.375 0.625 0.750
0.500 0.000 0.000
0.500 0.000 0.500
0.500 0.500 0.000
0.500 0.500 0.500
0.625 0.375 0.250
0.625 0.750 0.375
0.750 0.375 0.625
0.750 0.875 0.125
0.875 0.125 0.750
0.875 0.250 0.125
0.125 0.250 0.375
0.125 0.375 0.750
0.250 0.375 0.125
0.250 0.875 0.625
0.375 0.125 0.250
0.375 0.750 0.125
0.625 0.250 0.875
0.625 0.875 0.750
0.750 0.125 0.375
0.750 0.625 0.875
0.875 0.625 0.250
0.875 0.750 0.625

# 2
Pr2HoPuBi4 (PBE-GGA, relaxed); formation energy from the elements = -0.761 eV per atom; space group = No. 10; V = 270.4 Å³ per cell; DFT total energy = -50.08 eV/cell
1.0
7.910 0.000 0.000
0.000 4.579 0.000
-2.636 0.000 7.466
Pr Ho Pu Bi
2 1 1 4
Direct
0.000 0.000 0.000
0.000 0.500 0.500
0.500 0.000 0.500
0.500 0.500 0.000
0.260 0.000 0.752
0.261 0.500 0.255
0.739 0.500 0.745
0.740 0.000 0.248